## Zr2Nb4Cu3C3 (PBE)

Data for a relaxed structure of Zr2Nb4Cu3C3.

Summary:
Magnetization (Bohr magnetons per cell): 0.05
Electronic total energy (eV per atom): -8.365

The structure in CIF format:
```
data_Zr2Nb4Cu3C3
_space_group_name_H-M_alt 'C 1 2/c 1'
_space_group_IT_number 15
_space_group_name_Hall '-C 2yc'
_cell_length_a 9.5096
_cell_length_b 5.4830
_cell_length_c 13.8840
_cell_angle_alpha 90.00
_cell_angle_beta 103.58
_cell_angle_gamma 90.00
loop_
_atom_site_label
_atom_site_type_symbol
_atom_site_fract_x
_atom_site_fract_y
_atom_site_fract_z
_atom_site_occupancy
Zr1 Zr 0.0424 0.0811 0.3886 1
Nb1 Nb 0.1122 0.4100 0.5858 1
Nb2 Nb 0.2238 0.4192 0.9142 1
Cu1 Cu 0.0000 0.4285 0.7500 1
Cu2 Cu 0.2423 0.1558 0.7513 1
C1 C 0.0830 0.2490 0.0000 1
C2 C 0.2500 0.2500 0.5000 1
```